1.
Here is crystalline RbFePb2 at its relaxed geometry from the Alexandria database. Energies are from GGA-PBEsol.

Summary:
M_tot, μB/cell: 12.19
Crystal system: cubic
Formation energy, eV per atom: 0.689

Lattice parameters (Å, degrees): 7.5035 7.5035 7.5035 90.00 90.00 90.00
Fractional coordinates of all 16 atoms:
Rb1 0.0000 0.0000 0.0000
Rb2 0.0000 0.5000 0.5000
Rb3 0.5000 0.0000 0.5000
Rb4 0.5000 0.5000 0.0000
Fe1 0.0000 0.0000 0.5000
Fe2 0.0000 0.5000 0.0000
Fe3 0.5000 0.0000 0.0000
Fe4 0.5000 0.5000 0.5000
Pb1 0.2500 0.2500 0.2500
Pb2 0.2500 0.2500 0.7500
Pb3 0.2500 0.7500 0.2500
Pb4 0.2500 0.7500 0.7500
Pb5 0.7500 0.2500 0.2500
Pb6 0.7500 0.2500 0.7500
Pb7 0.7500 0.7500 0.2500
Pb8 0.7500 0.7500 0.7500

2.
Here is crystalline ScTa2Be at its relaxed geometry from the Alexandria database. Energies are from GGA-PBEsol.

Summary:
M_tot, μB/cell: 0.00
Crystal system: tetragonal
Formation energy, eV per atom: 0.237

Lattice parameters (Å, degrees): 3.9974 3.9974 8.2273 90.00 90.00 90.00
Fractional coordinates of all 8 atoms:
Sc1 0.0000 0.0000 0.0000
Sc2 0.5000 0.5000 0.5000
Ta1 0.0000 0.0000 0.5000
Ta2 0.0000 0.5000 0.2500
Ta3 0.5000 0.0000 0.7500
Ta4 0.5000 0.5000 0.0000
Be1 0.0000 0.5000 0.7500
Be2 0.5000 0.0000 0.2500

3.
Here is crystalline Li2OsF at its relaxed geometry from the Alexandria database. Energies are from GGA-PBEsol.

Summary:
Energy relative to the elements, uncorrected, meV per atom: 540
M_tot, μB/cell: 12.00
Offset from the most stable computed form, meV/atom: 839
Crystal system: cubic

Lattice parameters (Å, degrees): 6.0913 6.0913 6.0913 90.00 90.00 90.00
Fractional coordinates of all 16 atoms:
Li1 0.2500 0.2500 0.2500
Li2 0.2500 0.2500 0.7500
Li3 0.2500 0.7500 0.2500
Li4 0.2500 0.7500 0.7500
Li5 0.7500 0.2500 0.2500
Li6 0.7500 0.2500 0.7500
Li7 0.7500 0.7500 0.2500
Li8 0.7500 0.7500 0.7500
Os1 0.0000 0.0000 0.0000
Os2 0.0000 0.5000 0.5000
Os3 0.5000 0.0000 0.5000
Os4 0.5000 0.5000 0.0000
F1 0.0000 0.0000 0.5000
F2 0.0000 0.5000 0.0000
F3 0.5000 0.0000 0.0000
F4 0.5000 0.5000 0.5000